Below is a relaxed structure of Li2ZnNi, with properties calculated at the GGA-PBEsol level.

Values from the calculation:
DOS(E_F)	0.35	states/eV/atom
crystal system	orthorhombic
energy	-2.958	eV per atom
density	4.6	g/cm³

Cell lengths 2.5233, 3.9723, 4.9311 Å; angles 90.00, 90.00, 90.00 degrees
Fractional coordinates of all 4 atoms:
Li 0.0000 0.0000 0.2373
Li 0.0000 0.0000 0.7627
Zn 0.5000 0.5000 0.5000
Ni 0.5000 0.5000 0.0000

Below is a relaxed structure of RbZnSeBr2, with properties calculated at the GGA-PBEsol level.

Values from the calculation:
DOS(E_F)	0.79	states/eV/atom
energy relative to the elements, uncorrected	-3.8	eV per formula unit
crystal system	tetragonal
density	4.6	g/cm³

Cell lengths 5.3697, 5.3697, 4.8620 Å; angles 90.00, 90.00, 90.00 degrees
Fractional coordinates of all 5 atoms:
Rb 0.0000 0.0000 0.0000
Zn 0.5000 0.5000 0.5000
Se 0.5000 0.5000 0.0000
Br 0.0000 0.5000 0.5000
Br 0.5000 0.0000 0.5000

Below is a relaxed structure of Rb2LaTa6Br15O3, with properties calculated at the GGA-PBEsol level.

Values from the calculation:
energy relative to the elements, uncorrected	-40.3	eV per formula unit
crystal system	trigonal
density	6.4	g/cm³

Cell lengths 9.4315, 9.4315, 17.8312 Å; angles 90.00, 90.00, 120.00 degrees
Fractional coordinates of all 54 atoms:
Rb 0.3333 0.6667 0.0407
Rb 0.3333 0.6667 0.4593
Rb 0.6667 0.3333 0.5407
Rb 0.6667 0.3333 0.9593
La 0.3333 0.6667 0.7500
La 0.6667 0.3333 0.2500
Ta 0.0159 0.1898 0.6853
Ta 0.0159 0.8262 0.8147
Ta 0.1738 0.1898 0.8147
Ta 0.1738 0.9841 0.6853
Ta 0.1898 0.0159 0.1853
Ta 0.1898 0.1738 0.3147
Ta 0.8102 0.8262 0.6853
Ta 0.8102 0.9841 0.8147
Ta 0.8262 0.0159 0.3147
Ta 0.8262 0.8102 0.1853
Ta 0.9841 0.1738 0.1853
Ta 0.9841 0.8102 0.3147
Br 0.0183 0.2238 0.4150
Br 0.0183 0.7945 0.0850
Br 0.0712 0.4700 0.6148
Br 0.0712 0.6012 0.8852
Br 0.2055 0.2238 0.0850
Br 0.2055 0.9817 0.4150
Br 0.2152 0.4303 0.2500
Br 0.2152 0.7848 0.2500
Br 0.2238 0.0183 0.9150
Br 0.2238 0.2055 0.5850
Br 0.3988 0.4700 0.8852
Br 0.3988 0.9288 0.6148
Br 0.4303 0.2152 0.7500
Br 0.4700 0.0712 0.1148
Br 0.4700 0.3988 0.3852
Br 0.5300 0.6012 0.6148
Br 0.5300 0.9288 0.8852
Br 0.5697 0.7848 0.2500
Br 0.6012 0.0712 0.3852
Br 0.6012 0.5300 0.1148
Br 0.7762 0.7945 0.4150
Br 0.7762 0.9817 0.0850
Br 0.7848 0.2152 0.7500
Br 0.7848 0.5697 0.7500
Br 0.7945 0.0183 0.5850
Br 0.7945 0.7762 0.9150
Br 0.9288 0.3988 0.1148
Br 0.9288 0.5300 0.3852
Br 0.9817 0.2055 0.9150
Br 0.9817 0.7762 0.5850
O 0.1823 0.3646 0.7500
O 0.1823 0.8177 0.7500
O 0.3646 0.1823 0.2500
O 0.6354 0.8177 0.7500
O 0.8177 0.1823 0.2500
O 0.8177 0.6354 0.2500

Below is a relaxed structure of Mg2Cd3, with properties calculated at the GGA-PBEsol level.

Values from the calculation:
DOS(E_F)	0.38	states/eV/atom
crystal system	trigonal
energy	-1.461	eV per atom
density	6.0	g/cm³

Cell lengths 3.2131, 3.2131, 35.6838 Å; angles 90.00, 90.00, 120.00 degrees
Fractional coordinates of all 15 atoms:
Mg 0.0000 0.0000 0.1000
Mg 0.0000 0.0000 0.9000
Mg 0.3333 0.6667 0.5667
Mg 0.3333 0.6667 0.7666
Mg 0.6667 0.3333 0.2334
Mg 0.6667 0.3333 0.4333
Cd 0.0000 0.0000 0.2997
Cd 0.0000 0.0000 0.5000
Cd 0.0000 0.0000 0.7003
Cd 0.3333 0.6667 0.1667
Cd 0.3333 0.6667 0.3670
Cd 0.3333 0.6667 0.9664
Cd 0.6667 0.3333 0.0336
Cd 0.6667 0.3333 0.6330
Cd 0.6667 0.3333 0.8333

Below is a relaxed structure of RbMgSn2Os, with properties calculated at the GGA-PBEsol level.

Values from the calculation:
DOS(E_F)	0.65	states/eV/atom
crystal system	tetragonal
energy	-4.630	eV per atom
density	6.5	g/cm³

Cell lengths 5.1333, 5.1333, 5.2010 Å; angles 90.00, 90.00, 90.00 degrees
Fractional coordinates of all 5 atoms:
Rb 0.0000 0.0000 0.0000
Mg 0.5000 0.5000 0.0000
Sn 0.0000 0.5000 0.5000
Sn 0.5000 0.0000 0.5000
Os 0.5000 0.5000 0.5000

Below is a relaxed structure of SnAsPSe2, with properties calculated at the GGA-PBEsol level.

Values from the calculation:
DOS(E_F)	0.63	states/eV/atom
energy relative to the elements, uncorrected	1.4	eV per formula unit
crystal system	tetragonal
density	5.7	g/cm³

Cell lengths 4.7948, 4.7948, 4.8068 Å; angles 90.00, 90.00, 90.00 degrees
Fractional coordinates of all 5 atoms:
Sn 0.0000 0.0000 0.0000
As 0.5000 0.5000 0.0000
P 0.5000 0.5000 0.5000
Se 0.0000 0.5000 0.5000
Se 0.5000 0.0000 0.5000